[1]
# NiTe2Ru (PBE-GGA, optimized geometry)
data_NiTe2Ru
_space_group_name_H-M_alt 'P 4 m m'
_space_group_IT_number 99
_cell_length_a 3.4927
_cell_length_b 3.4927
_cell_length_c 7.0343
_cell_angle_alpha 90.00
_cell_angle_beta 90.00
_cell_angle_gamma 90.00
loop_
_space_group_symop_operation_xyz
'x,y,z'
'-y,x,z'
'-x,-y,z'
'y,-x,z'
'-x,y,z'
'y,x,z'
'x,-y,z'
'-y,-x,z'
loop_
_atom_site_label
_atom_site_type_symbol
_atom_site_fract_x
_atom_site_fract_y
_atom_site_fract_z
Ni1 Ni 0.0000 0.0000 0.0000
Te1 Te 0.0000 0.0000 0.3711
Te2 Te 0.5000 0.5000 0.8532
Ru1 Ru 0.5000 0.5000 0.2174
# formation energy without anion corrections	0.002	eV per atom
# energy above the lowest structure with this stoichiometry	4	meV per atom
# E_tot	-5.333	eV per atom
# magnetization	0.19	μB/f.u.

---

[2]
# Rb2NaInCl5 (PBE-GGA, optimized geometry)
data_Rb2NaInCl5
_space_group_name_H-M_alt 'C m c 21'
_space_group_IT_number 36
_cell_length_a 4.8196
_cell_length_b 17.9953
_cell_length_c 13.2482
_cell_angle_alpha 90.00
_cell_angle_beta 90.00
_cell_angle_gamma 90.00
loop_
_space_group_symop_operation_xyz
'x,y,z'
'-x,-y,z+1/2'
'-x,y,z'
'x,-y,z+1/2'
'x+1/2,y+1/2,z'
'-x+1/2,-y+1/2,z+1/2'
'-x+1/2,y+1/2,z'
'x+1/2,-y+1/2,z+1/2'
loop_
_atom_site_label
_atom_site_type_symbol
_atom_site_fract_x
_atom_site_fract_y
_atom_site_fract_z
Rb1 Rb 0.0000 0.1164 0.0000
Rb2 Rb 0.0000 0.1430 0.6238
Na1 Na 0.0000 0.2170 0.3402
In1 In 0.0000 0.4605 0.7739
Cl1 Cl 0.0000 0.0486 0.3448
Cl2 Cl 0.0000 0.2927 0.9647
Cl3 Cl 0.0000 0.3224 0.6923
Cl4 Cl 0.0000 0.3715 0.3160
Cl5 Cl 0.0000 0.4935 0.0904
# formation energy without anion corrections	-1.547	eV per atom
# E_tot	-3.239	eV per atom
# magnetization	0.00	μB/f.u.

---

[3]
# Y2CoNi (PBE-GGA, optimized geometry)
data_Y2CoNi
_space_group_name_H-M_alt 'P 1 21/m 1'
_space_group_IT_number 11
_cell_length_a 5.6160
_cell_length_b 3.9146
_cell_length_c 7.8130
_cell_angle_alpha 90.00
_cell_angle_beta 110.37
_cell_angle_gamma 90.00
loop_
_space_group_symop_operation_xyz
'x,y,z'
'-x,-y,-z'
'-x,y+1/2,-z'
'x,-y+1/2,z'
loop_
_atom_site_label
_atom_site_type_symbol
_atom_site_fract_x
_atom_site_fract_y
_atom_site_fract_z
Y1 Y 0.2146 0.2500 0.4332
Y2 Y 0.2164 0.2500 0.9246
Co1 Co 0.3679 0.7500 0.7182
Ni1 Ni 0.3649 0.7500 0.2154
# E_tot	-6.755	eV per atom
# E_form	-302	meV/atom
# magnetization	0.00	μB/f.u.

---

[4]
# Sc4GaBiN (PBE-GGA, optimized geometry)
data_Sc4GaBiN
_space_group_name_H-M_alt 'C m c m'
_space_group_IT_number 63
_space_group_name_Hall '-C 2c 2'
_cell_length_a 6.1715
_cell_length_b 14.8274
_cell_length_c 6.1853
_cell_angle_alpha 90.00
_cell_angle_beta 90.00
_cell_angle_gamma 90.00
loop_
_atom_site_label
_atom_site_type_symbol
_atom_site_fract_x
_atom_site_fract_y
_atom_site_fract_z
Sc1 Sc 0.0000 0.0895 0.2500
Sc2 Sc 0.0000 0.3993 0.2500
Sc3 Sc 0.2500 0.2500 0.0000
Ga1 Ga 0.0000 0.1122 0.7500
Bi1 Bi 0.0000 0.4000 0.7500
N1 N 0.0000 0.2460 0.2500
# formation energy without anion corrections	-0.940	eV per atom
# E_tot	-6.734	eV per atom
# magnetization	0.00	μB/f.u.

---

Q: Which value of magnetization does entry 3 give?
A: 0.00 μB/f.u.

---

Q: Which value of E_tot does entry 4 give?
A: -6.734 eV per atom